# MgScMo2 (PBE, optimized geometry)
data_MgScMo2
_chemical_formula_sum 'Mg2 Sc2 Mo4'
_symmetry_space_group_name_H-M 'I 4/m m m'
_symmetry_Int_Tables_number 139
_symmetry_space_group_name_Hall '-I 4 2'
_cell_length_a 3.9133
_cell_length_b 3.9133
_cell_length_c 9.2704
_cell_angle_alpha 90.00
_cell_angle_beta 90.00
_cell_angle_gamma 90.00
loop_
_atom_site_label
_atom_site_type_symbol
_atom_site_fract_x
_atom_site_fract_y
_atom_site_fract_z
Mg1 Mg 0.0000 0.0000 0.0000
Sc1 Sc 0.0000 0.0000 0.5000
Mo1 Mo 0.0000 0.5000 0.2500
# Electronic total energy in eV/atom: -7.12
# ΔE_f in eV per atom: 0.279

# TbNd6Sm3Er2 (PBE, optimized geometry)
data_TbNd6Sm3Er2
_chemical_formula_sum 'Tb2 Nd12 Sm6 Er4'
_symmetry_space_group_name_H-M 'C 1 2/m 1'
_symmetry_Int_Tables_number 12
_symmetry_space_group_name_Hall '-C 2y'
_cell_length_a 6.3003
_cell_length_b 10.9130
_cell_length_c 11.9532
_cell_angle_alpha 90.00
_cell_angle_beta 100.09
_cell_angle_gamma 90.00
loop_
_atom_site_label
_atom_site_type_symbol
_atom_site_fract_x
_atom_site_fract_y
_atom_site_fract_z
Tb1 Tb 0.0000 0.0000 0.0000
Nd1 Nd 0.2490 0.5000 0.2470
Nd2 Nd 0.2496 0.1669 0.2470
Sm1 Sm 0.0000 0.1667 0.5000
Sm2 Sm 0.0000 0.5000 0.5000
Er1 Er 0.0000 0.3334 0.0000
# Electronic total energy in eV/atom: -4.70
# ΔE_f in eV per atom: 0.013

# PmGdAu (PBE, optimized geometry)
data_PmGdAu
_chemical_formula_sum 'Pm2 Gd2 Au2'
_symmetry_space_group_name_H-M 'I 4 m m'
_symmetry_Int_Tables_number 107
_symmetry_space_group_name_Hall 'I 4 -2'
_cell_length_a 3.6771
_cell_length_b 3.6771
_cell_length_c 12.3548
_cell_angle_alpha 90.00
_cell_angle_beta 90.00
_cell_angle_gamma 90.00
loop_
_atom_site_label
_atom_site_type_symbol
_atom_site_fract_x
_atom_site_fract_y
_atom_site_fract_z
Pm1 Pm 0.0000 0.0000 0.0000
Gd1 Gd 0.0000 0.0000 0.7096
Au1 Au 0.0000 0.0000 0.3493
# Electronic total energy in eV/atom: -7.89
# ΔE_f in eV per atom: -0.520